# Ba3NaPb2O6

A relaxed structure of Ba3NaPb2O6 (PBE-GGA, Alexandria via LeMat-Bulk).

It has space group P-3m1 (No. 164), with a = 6.3765 Å, b = 6.3765 Å, c = 6.9564 Å, α = 90.00°, β = 90.00° and γ = 120.00°. Symmetry generates all atoms from Ba at (0.0000, 0.0000, 0.0000), Ba at (0.3333, 0.6667, 0.6022), Na at (0.0000, 0.0000, 0.5000), Pb at (0.3333, 0.6667, 0.1230) and O at (0.1723, 0.3446, 0.2943).

Its crystal system is trigonal. The final energy is -0.1998 hartree per atom.

# Ba2NaPbO4

A relaxed structure of Ba2NaPbO4 (PBE-GGA, Alexandria via LeMat-Bulk).

It has space group I-4 (No. 82), with a = 6.257 Å, b = 6.257 Å, c = 8.688 Å, α = 90.00°, β = 90.00° and γ = 90.00°. Symmetry generates all atoms from Ba at (0.000, 0.000, 0.000), Ba at (0.000, 0.500, 0.250), Na at (0.000, 0.000, 0.500), Pb at (0.000, 0.500, 0.750) and O at (0.214, 0.740, 0.630).

Its crystal system is tetragonal. The final energy is -0.1961 hartree per atom.

# Ba4NaPb3O12

A relaxed structure of Ba4NaPb3O12 (PBE-GGA, Alexandria via LeMat-Bulk).

It has space group Im-3m (No. 229), with a = 8.747 Å, b = 8.747 Å, c = 8.747 Å, α = 90.00°, β = 90.00° and γ = 90.00°. Symmetry generates all atoms from Ba at (0.250, 0.250, 0.250), Na at (0.000, 0.000, 0.000), Pb at (0.000, 0.000, 0.500), O at (0.000, 0.000, 0.261) and O at (0.000, 0.250, 0.500).

Its crystal system is cubic. The final energy is -0.2021 hartree per atom.

# Ba3Na2PbO6

A relaxed structure of Ba3Na2PbO6 (PBE-GGA, Alexandria via LeMat-Bulk).

It has space group P-3m1 (No. 164), with a = 6.3684 Å, b = 6.3684 Å, c = 6.7701 Å, α = 90.00°, β = 90.00° and γ = 120.00°. Symmetry generates all atoms from Ba at (0.0000, 0.0000, 0.0000), Ba at (0.3333, 0.6667, 0.5919), Na at (0.3333, 0.6667, 0.1377), Pb at (0.0000, 0.0000, 0.5000) and O at (0.1635, 0.3271, 0.3048).

Its crystal system is trigonal. The final energy is -0.1921 hartree per atom.

# Ba2Na2PbO4

A relaxed structure of Ba2Na2PbO4 (PBE-GGA, Alexandria via LeMat-Bulk).

It has space group C2/m (No. 12), with a = 14.089 Å, b = 3.688 Å, c = 6.536 Å, α = 90.00°, β = 105.47° and γ = 90.00°. Symmetry generates all atoms from Ba at (0.132, 0.000, 0.048), Na at (0.178, 0.500, 0.526), Pb at (0.000, 0.000, 0.500), O at (0.028, 0.500, 0.252) and O at (0.227, 0.000, 0.743).

Its crystal system is monoclinic. The final energy is -0.1826 hartree per atom.

# Ba2NaPdO4

A relaxed structure of Ba2NaPdO4 (PBE-GGA, Alexandria via LeMat-Bulk).

It has space group Fddd (No. 70, origin choice 2), with a = 5.253 Å, b = 12.437 Å, c = 19.313 Å, α = 90.00°, β = 90.00° and γ = 90.00°. Symmetry generates all atoms from Ba at (0.125, 0.125, 0.306), Na at (0.125, 0.125, 0.125), Pd at (0.125, 0.125, 0.625) and O at (0.105, 0.251, 0.843).

Its crystal system is orthorhombic. The final energy is -0.1887 hartree per atom.

# BaNa2PdO

A relaxed structure of BaNa2PdO (PBE-GGA, Alexandria via LeMat-Bulk).

It has space group P4/mmm (No. 123), with a = 4.670 Å, b = 4.670 Å, c = 5.368 Å, α = 90.00°, β = 90.00° and γ = 90.00°. Symmetry generates all atoms from Ba at (0.000, 0.000, 0.000), Na at (0.000, 0.500, 0.500), Pd at (0.500, 0.500, 0.000) and O at (0.000, 0.000, 0.500).

Its crystal system is tetragonal. The final energy is -0.1420 hartree per atom.

# BaNaPdO3

A relaxed structure of BaNaPdO3 (PBE-GGA, Alexandria via LeMat-Bulk).

It has space group Cmcm (No. 63), with a = 5.680 Å, b = 11.196 Å, c = 5.953 Å, α = 90.00°, β = 90.00° and γ = 90.00°. Symmetry generates all atoms from Ba at (0.000, 0.208, 0.250), Na at (0.000, 0.081, 0.750), Pd at (0.000, 0.483, 0.750), O at (0.000, 0.276, 0.750) and O at (0.244, 0.500, 0.000).

Its crystal system is orthorhombic. The final energy is -0.1901 hartree per atom.

# Ba2Na3PdO6

A relaxed structure of Ba2Na3PdO6 (PBE-GGA, Alexandria via LeMat-Bulk).

It has space group C2/m (No. 12), with a = 6.216 Å, b = 11.346 Å, c = 5.900 Å, α = 90.00°, β = 108.92° and γ = 90.00°. Symmetry generates all atoms from Ba at (0.000, 0.170, 0.000), Na at (0.000, 0.000, 0.500), Na at (0.000, 0.376, 0.500), Pd at (0.000, 0.500, 0.000), O at (0.199, 0.372, 0.225) and O at (0.216, 0.500, 0.797).

Its crystal system is monoclinic. The final energy is -0.1842 hartree per atom.

# BaNaPdO2

A relaxed structure of BaNaPdO2 (PBE-GGA, Alexandria via LeMat-Bulk).

It has space group Pmma (No. 51), with a = 5.510 Å, b = 6.199 Å, c = 5.034 Å, α = 90.00°, β = 90.00° and γ = 90.00°. Symmetry generates all atoms from Ba at (0.250, 0.000, 0.224), Na at (0.250, 0.500, 0.496), Pd at (0.000, 0.500, 0.000) and O at (0.250, 0.244, 0.802).

Its crystal system is orthorhombic. The final energy is -0.1762 hartree per atom.

# Ba2NaPdO

A relaxed structure of Ba2NaPdO (PBE-GGA, Alexandria via LeMat-Bulk).

It has space group P4/mmm (No. 123), with a = 6.069 Å, b = 6.069 Å, c = 4.003 Å, α = 90.00°, β = 90.00° and γ = 90.00°. Symmetry generates all atoms from Ba at (0.000, 0.500, 0.000), Na at (0.000, 0.000, 0.000), Pd at (0.500, 0.500, 0.500) and O at (0.000, 0.000, 0.500).

Its crystal system is tetragonal. The final energy is -0.1246 hartree per atom.

# Ba2NaPdO

A relaxed structure of Ba2NaPdO (PBE-GGA, Alexandria via LeMat-Bulk).

It has space group P4/mmm (No. 123), with a = 5.441 Å, b = 5.441 Å, c = 4.616 Å, α = 90.00°, β = 90.00° and γ = 90.00°. Symmetry generates all atoms from Ba at (0.000, 0.500, 0.000), Na at (0.000, 0.000, 0.500), Pd at (0.500, 0.500, 0.500) and O at (0.000, 0.000, 0.000).

Its crystal system is tetragonal. The final energy is -0.1522 hartree per atom.

Number 1: ρ 6.41 g/cm³. Number 2: ρ 5.55 g/cm³. Number 3: ρ 6.88 g/cm³. Number 4: ρ 5.32 g/cm³. Number 5: ρ 6.01 g/cm³. Number 6: ρ 4.93 g/cm³. Number 7: ρ 4.34 g/cm³. Number 8: ρ 5.52 g/cm³. Number 9: ρ 4.61 g/cm³. Number 10: ρ 5.77 g/cm³. Number 11: ρ 4.73 g/cm³. Number 12: ρ 5.10 g/cm³.